Record 1
VASP calculation (PBE-GGA) on a geometry-optimized PmY4Mg structure.

Unit cell a=6.1362 b=6.1362 c=11.9221 alpha=75.54 beta=75.54 gamma=60.51
With the nearest neighbours (Å) after each atom.
Sites, in units of the cell vectors:
Pm: 0.5000 0.0000 0.5000  10 Y 3.51-3.59, 2 Mg 3.53
Pm: 0.0000 0.5000 0.0000  10 Y 3.51-3.59, 2 Mg 3.53
Y: 0.4144 0.2522 0.7506  2 Pm 3.51, 7 Y 3.52-3.56, 3 Mg 3.54-3.57
Y: 0.1652 0.6717 0.5008  2 Mg 3.48-3.50, 7 Y 3.50-3.58, 3 Pm 3.51-3.59
Y: 0.8348 0.3283 0.4992  2 Mg 3.48-3.50, 7 Y 3.50-3.58, 3 Pm 3.51-3.59
Y: 0.2522 0.4144 0.2506  2 Pm 3.51, 7 Y 3.52-3.56, 3 Mg 3.54-3.57
Y: 0.7478 0.5856 0.7494  2 Pm 3.51, 7 Y 3.52-3.56, 3 Mg 3.54-3.57
Y: 0.3283 0.8348 0.9992  2 Mg 3.48-3.50, 7 Y 3.50-3.58, 3 Pm 3.51-3.59
Y: 0.6717 0.1652 0.0008  2 Mg 3.48-3.50, 7 Y 3.50-3.58, 3 Pm 3.51-3.59
Y: 0.5856 0.7478 0.2494  2 Pm 3.51, 7 Y 3.52-3.56, 3 Mg 3.54-3.57
Mg: 0.9206 0.0794 0.2500  10 Y 3.48-3.57, 2 Pm 3.53
Mg: 0.0794 0.9206 0.7500  10 Y 3.48-3.57, 2 Pm 3.53

Total magnetic moment = 0.00 μB/f.u.
Excess energy over the best structure of this formula in the dataset = 44 meV/atom
Formation energy from the elements = 0.15 eV per formula unit
Crystal system = monoclinic
Electronic total energy = -5.341 eV/atom
SG = C2/c, No. 15
Density of states at the Fermi level = 1.54 states/eV per atom

***

Record 2
VASP calculation (PBE-GGA) on a geometry-optimized K3ZrZn structure.

Unit cell a=6.3299 b=6.3299 c=6.3299 alpha=90.00 beta=90.00 gamma=90.00
With the nearest neighbours (Å) after each atom.
Sites, in units of the cell vectors:
Zn: 0.0000 0.0000 0.0000  6 K 3.16
K: 0.0000 0.5000 0.0000  2 Zn 3.16
K: 0.0000 0.0000 0.5000  2 Zn 3.16
K: 0.5000 0.0000 0.0000  2 Zn 3.16
Zr: 0.5000 0.5000 0.5000  12 K 4.48

Total magnetic moment = 3.85 μB/f.u.
Excess energy over the best structure of this formula in the dataset = 0 meV/atom
Formation energy from the elements = 5.03 eV per formula unit
Crystal system = cubic
Electronic total energy = -1.616 eV/atom
SG = Pm-3m, No. 221
Density of states at the Fermi level = 2.19 states/eV per atom

***

Record 3
VASP calculation (PBE-GGA) on a geometry-optimized CePm3Er2 structure.

Unit cell a=7.1494 b=10.7477 c=12.9059 alpha=33.62 beta=46.18 gamma=60.05
With the nearest neighbours (Å) after each atom.
Sites, in units of the cell vectors:
Ce: 0.0000 0.2500 0.7500  8 Pm 3.55-3.58, 2 Ce 3.57, 2 Er 3.59
Ce: 0.0000 0.7500 0.2500  8 Pm 3.55-3.58, 2 Ce 3.57, 2 Er 3.59
Pm: 0.5003 0.7500 0.2499  4 Pm 3.57, 4 Ce 3.57-3.58, 4 Er 3.59
Pm: 0.4997 0.2500 0.7501  4 Pm 3.57, 4 Ce 3.57-3.58, 4 Er 3.59
Pm: 0.8324 0.2469 0.0836  6 Er 3.55-3.60, 2 Ce 3.55-3.56, 4 Pm 3.57-3.60
Pm: 0.1670 0.2531 0.4166  2 Ce 3.55, 6 Er 3.55-3.60, 4 Pm 3.57-3.60
Pm: 0.8330 0.7469 0.5834  2 Ce 3.55, 6 Er 3.55-3.60, 4 Pm 3.57-3.60
Pm: 0.1676 0.7531 0.9164  6 Er 3.55-3.60, 2 Ce 3.55-3.56, 4 Pm 3.57-3.60
Er: 0.3330 0.7507 0.5834  8 Pm 3.55-3.60, 3 Er 3.57, 1 Ce 3.59
Er: 0.3331 0.2507 0.0834  8 Pm 3.55-3.60, 3 Er 3.57, 1 Ce 3.59
Er: 0.6669 0.7493 0.9166  8 Pm 3.55-3.60, 3 Er 3.57, 1 Ce 3.59
Er: 0.6670 0.2493 0.4166  8 Pm 3.55-3.60, 3 Er 3.57, 1 Ce 3.59

Total magnetic moment = 0.86 μB/f.u.
Formation energy from the elements = 0.30 eV per formula unit
Crystal system = monoclinic
Electronic total energy = -4.835 eV/atom
SG = P2/m, No. 10
Density of states at the Fermi level = 1.77 states/eV per atom